No. 1
AgPdBr6: relaxed, PBE.

Lattice parameters (Å, degrees): 7.0553 7.0553 7.0553 60.00 60.00 60.00
With the nearest neighbours (Å) after each atom.
Fractional coordinates of all 8 atoms:
Ag  0.0000  0.0000  0.0000  12 Br 3.53
Pd  0.7500  0.7500  0.7500  6 Br 2.48
Br  0.5019  0.5019  0.9981  1 Pd 2.48
Br  0.5019  0.9981  0.5019  1 Pd 2.48
Br  0.5019  0.9981  0.9981  1 Pd 2.48
Br  0.9981  0.5019  0.5019  1 Pd 2.48
Br  0.9981  0.5019  0.9981  1 Pd 2.48
Br  0.9981  0.9981  0.5019  1 Pd 2.48

VASP energy: -2.253 eV/atom

No. 2
Cs2Zr2Sb2O7: relaxed, PBE.

Lattice parameters (Å, degrees): 6.1487 6.1487 8.3680 90.00 90.00 120.00
With the nearest neighbours (Å) after each atom.
Fractional coordinates of all 13 atoms:
Cs  0.3333  0.6667  0.1018  9 O 3.08-3.21
Cs  0.6667  0.3333  0.8982  9 O 3.08-3.21
Zr  0.0000  0.0000  0.2684  4 O 1.94-1.99
Zr  0.0000  0.0000  0.7316  4 O 1.94-1.99
Sb  0.3333  0.6667  0.6297  3 O 2.09
Sb  0.6667  0.3333  0.3703  3 O 2.09
O  0.0000  0.0000  0.5000  2 Zr 1.94
O  0.1815  0.3631  0.7879  1 Zr 1.99, 1 Sb 2.09
O  0.1815  0.8185  0.7879  1 Zr 1.99, 1 Sb 2.09
O  0.3631  0.1815  0.2121  1 Zr 1.99, 1 Sb 2.09
O  0.6369  0.8185  0.7879  1 Zr 1.99, 1 Sb 2.09
O  0.8185  0.1815  0.2121  1 Zr 1.99, 1 Sb 2.09
O  0.8185  0.6369  0.2121  1 Zr 1.99, 1 Sb 2.09

VASP energy: -6.760 eV/atom

No. 3
ZrTa2As: relaxed, PBE.

Lattice parameters (Å, degrees): 4.7037 4.7037 4.7037 60.00 60.00 60.00
With the nearest neighbours (Å) after each atom.
Fractional coordinates of all 4 atoms:
Zr  0.0000  0.0000  0.0000  4 Ta 2.88, 4 As 2.88
Ta  0.2500  0.2500  0.2500  4 Zr 2.88, 4 Ta 2.88
Ta  0.5000  0.5000  0.5000  4 Ta 2.88, 4 As 2.88
As  0.7500  0.7500  0.7500  4 Zr 2.88, 4 Ta 2.88

VASP energy: -9.189 eV/atom

No. 4
YCoSnPd: relaxed, PBE.

Lattice parameters (Å, degrees): 4.7037 4.7037 4.7037 60.00 60.00 60.00
With the nearest neighbours (Å) after each atom.
Fractional coordinates of all 4 atoms:
Y  0.0000  0.0000  0.0000  4 Co 2.88, 4 Pd 2.88
Co  0.7500  0.7500  0.7500  4 Sn 2.88, 4 Y 2.88
Sn  0.5000  0.5000  0.5000  4 Co 2.88, 4 Pd 2.88
Pd  0.2500  0.2500  0.2500  4 Sn 2.88, 4 Y 2.88

relative energy among the computed polymorphs: 0.000 eV/atom